Material: Li4Ag2Sn
Method: DFT, PBE
State: relaxed

Cell and atoms, written as POSCAR:
```
Li4Ag2Sn
1.0
-2.975 2.980 3.765
2.975 -2.980 3.765
2.975 2.980 -3.765
Li Ag Sn
4 2 1
direct
0.000 0.000 0.500 Li
0.000 0.500 0.000 Li
0.500 0.000 0.000 Li
0.500 0.500 0.500 Li
0.000 0.000 0.000 Ag
0.500 0.500 0.000 Ag
0.500 0.000 0.500 Sn
```

---

Material: Li9Ag4Sn11
Method: DFT, PBE
State: relaxed

Cell and atoms, written as POSCAR:
```
Li9Ag4Sn11
1.0
6.220 -9.373 0.000
6.220 9.373 0.000
0.000 0.000 4.392
Li Ag Sn
9 4 11
direct
0.000 0.000 0.000 Li
0.127 0.631 0.000 Li
0.300 0.468 0.000 Li
0.369 0.873 0.000 Li
0.468 0.300 0.000 Li
0.532 0.700 0.000 Li
0.631 0.127 0.000 Li
0.700 0.532 0.000 Li
0.873 0.369 0.000 Li
0.058 0.253 0.000 Ag
0.253 0.058 0.000 Ag
0.747 0.942 0.000 Ag
0.942 0.747 0.000 Ag
0.088 0.427 0.500 Sn
0.142 0.858 0.500 Sn
0.231 0.231 0.500 Sn
0.326 0.674 0.500 Sn
0.427 0.088 0.500 Sn
0.500 0.500 0.500 Sn
0.573 0.912 0.500 Sn
0.674 0.326 0.500 Sn
0.769 0.769 0.500 Sn
0.858 0.142 0.500 Sn
0.912 0.573 0.500 Sn
```

---

| no. | energy relative to the elements (eV/atom) | D(E_F) (states/eV per cell) | magnetization (μB per formula unit) |
| --- | --- | --- | --- |
| 1 | -0.2044 | 2.41 | 0.00 |
| 2 | -0.2125 | 7.62 | 0.00 |